This record from Alexandria describes a relaxed MgAlVO4 crystal. The functional is GGA+U.

Results
total energy: -7.258 eV per atom
total magnetization: 4.00 μB per cell
space-group type: Imma, No. 74

Unit cell a=5.9418 b=5.8810 c=5.8810 alpha=59.96 beta=59.66 gamma=59.66
Closest atoms and distances in Å follow each position.
Positions (direct):
O  0.2430  0.7565  0.2565  1 Al 1.81, 1 V 2.02
Al  0.3813  0.3687  0.8687  4 O 1.81-1.83
Al  0.6187  0.6313  0.1313  4 O 1.81-1.83
V  0.0000  0.0000  0.5000  6 O 2.02-2.08
O  0.2521  0.2459  0.2500  1 Al 1.83
Mg  0.0000  0.0000  0.0000  6 O 2.09
O  0.7479  0.2500  0.2541  1 Al 1.83
Mg  0.0000  0.5000  0.5000  6 O 2.09
V  0.5000  0.0000  0.5000  6 O 2.02-2.08
O  0.7441  0.7565  0.2565  1 Al 1.81, 1 V 2.02
O  0.2521  0.7500  0.7459  1 Al 1.83
O  0.7479  0.7541  0.7500  1 Al 1.83
O  0.7570  0.2435  0.7435  1 Al 1.81, 1 V 2.02
O  0.2559  0.2435  0.7435  1 Al 1.81, 1 V 2.02